# 1
Density functional theory data (GGA-PBEsol) for Mg2TlCu2 after structural relaxation.

- space group = No. 139
- formation energy from the elements (eV per formula unit) = 0.9
- total magnetization (μB/atom) = 0.000
- volume (Å³/cell) = 94.4
- ΔE to the lowest computed polymorph (eV per atom) = 0.215

Geometry as extended XYZ:
```
5
Lattice="-3.873 -0.724 1.198 1.393 -1.637 3.513 1.050 6.194 0.056" Properties=species:S:1:pos:R:3 pbc="T T T"
Cu -0.151 3.974 1.911
Tl 0.000 0.000 0.000
Mg -2.032 2.145 1.805
Cu -1.280 -0.141 2.856
Mg 0.601 1.688 2.962
```



# 2
Density functional theory data (GGA-PBEsol) for KSc2Ag after structural relaxation.

- space group = No. 166
- formation energy from the elements (eV per formula unit) = 1.3
- total magnetization (μB/atom) = 0.000
- volume (Å³/cell) = 108.1

Geometry as extended XYZ:
```
4
Lattice="3.350 0.000 0.000 1.675 2.901 0.000 1.675 0.967 11.125" Properties=species:S:1:pos:R:3 pbc="T T T"
K 0.000 0.000 0.000
Ag 3.350 1.934 5.563
Sc 5.024 2.901 7.691
Sc 1.675 0.967 3.435
```



# 3
Density functional theory data (GGA-PBEsol) for Ta2SbP after structural relaxation.

- space group = No. 166
- formation energy from raw total energies (eV per atom) = -0.2928
- total magnetization (μB/atom) = 0.000
- volume (Å³/cell) = 74.0

Geometry as extended XYZ:
```
4
Lattice="-0.286 0.932 3.462 -3.160 1.114 1.307 -2.706 -5.550 3.138" Properties=species:S:1:pos:R:3 pbc="T T T"
P -3.076 -1.752 3.954
Sb 0.000 0.000 0.000
Ta -1.639 -1.282 2.078
Ta -4.512 -2.222 5.829
```



# 4
Density functional theory data (GGA-PBEsol) for HgAsAu after structural relaxation.

- space group = No. 42
- formation energy from the elements (eV per formula unit) = 0.6
- total magnetization (μB/atom) = 0.000
- volume (Å³/cell) = 58.4
- ΔE to the lowest computed polymorph (eV per atom) = 0.012

Geometry as extended XYZ:
```
3
Lattice="2.866 0.000 0.000 1.433 2.644 0.000 1.433 0.000 7.705" Properties=species:S:1:pos:R:3 pbc="T T T"
Au 1.433 0.000 2.485
Hg 2.866 0.000 5.061
As 2.866 0.000 0.160
```



# 5
Density functional theory data (GGA-PBEsol) for ZrZnAg2O after structural relaxation.

- space group = No. 123
- formation energy from raw total energies (eV per atom) = 1.7387
- total magnetization (μB/atom) = 0.320
- volume (Å³/cell) = 142.5

Geometry as extended XYZ:
```
5
Lattice="5.194 0.000 0.000 0.000 5.194 0.000 0.000 0.000 5.283" Properties=species:S:1:pos:R:3 pbc="T T T"
Ag 0.000 2.597 0.000
Ag 2.597 0.000 0.000
Zr 0.000 0.000 0.000
Zn 0.000 0.000 2.642
O 2.597 2.597 2.642
```



# 6
Density functional theory data (GGA-PBEsol) for NaSn2Mo2 after structural relaxation.

- space group = No. 139
- formation energy from the elements (eV per formula unit) = 2.2
- total magnetization (μB/atom) = 0.000
- volume (Å³/cell) = 111.7

Geometry as extended XYZ:
```
5
Lattice="5.127 0.000 0.000 -2.563 4.965 -0.011 0.000 -2.637 4.396" Properties=species:S:1:pos:R:3 pbc="T T T"
Mo 0.000 2.712 1.627
Na 0.000 0.000 0.000
Sn 2.563 1.823 1.094
Sn 0.000 0.504 3.292
Mo 2.563 -0.385 2.758
```



# 7
Density functional theory data (GGA-PBEsol) for CdRuCl2 after structural relaxation.

- space group = No. 8
- formation energy from raw total energies (eV per atom) = -0.1037
- total magnetization (μB/atom) = 0.000
- volume (Å³/cell) = 86.1
- ΔE to the lowest computed polymorph (eV per atom) = 0.000

Geometry as extended XYZ:
```
4
Lattice="-1.710 2.471 -0.351 -2.752 -3.305 3.176 4.329 3.399 2.847" Properties=species:S:1:pos:R:3 pbc="T T T"
Cl 3.927 3.121 2.849
Cl -2.061 0.821 2.781
Ru -0.510 0.279 4.458
Cd 1.399 1.373 2.855
```



# 8
Density functional theory data (GGA-PBEsol) for YGa3Ni2 after structural relaxation.

- space group = No. 191
- formation energy from the elements (eV per formula unit) = -3.7
- total magnetization (μB/atom) = 0.000
- volume (Å³/cell) = 90.7

Geometry as extended XYZ:
```
6
Lattice="3.945 0.000 0.000 0.000 5.151 0.000 0.000 -2.576 4.461" Properties=species:S:1:pos:R:3 pbc="T T T"
Ni 0.000 0.000 2.974
Ga 1.973 1.288 2.231
Ga 1.973 2.576 0.000
Y 0.000 0.000 0.000
Ga 1.973 -1.288 2.231
Ni 0.000 2.576 1.487
```



# 9
Density functional theory data (GGA-PBEsol) for MgCu2SiIr after structural relaxation.

- space group = No. 123
- formation energy from raw total energies (eV per atom) = 0.2545
- total magnetization (μB/atom) = 0.000
- volume (Å³/cell) = 82.1

Geometry as extended XYZ:
```
5
Lattice="4.298 0.000 0.000 0.000 4.298 0.000 0.000 0.000 4.443" Properties=species:S:1:pos:R:3 pbc="T T T"
Si 0.000 0.000 0.000
Cu 2.149 0.000 0.000
Mg 2.149 2.149 2.221
Cu 0.000 2.149 0.000
Ir 0.000 0.000 2.221
```



# 10
Density functional theory data (GGA-PBEsol) for La2FeSe after structural relaxation.

- space group = No. 10
- formation energy from raw total energies (eV per atom) = -0.6193
- total magnetization (μB/atom) = 0.184
- volume (Å³/cell) = 93.4

Geometry as extended XYZ:
```
4
Lattice="-2.258 2.810 0.321 -1.861 -1.171 -2.847 -3.754 -4.428 4.275" Properties=species:S:1:pos:R:3 pbc="T T T"
Se -2.060 0.819 -1.263
La -4.880 -0.622 3.447
Fe -3.937 -1.394 0.875
La -1.131 -0.996 1.149
```



# 11
Density functional theory data (GGA-PBEsol) for Y6Ta4Al43 after structural relaxation.

- space group = No. 193
- formation energy from the elements (eV per formula unit) = -16.5
- total magnetization (μB/atom) = 0.000
- volume (Å³/cell) = 1867.1

Geometry as extended XYZ:
```
106
Lattice="-5.872 -8.877 -2.867 5.465 0.138 9.571 -14.263 6.836 8.045" Properties=species:S:1:pos:R:3 pbc="T T T"
Al -1.708 -0.604 1.995
Al -9.710 2.792 4.493
Al -8.431 1.649 13.007
Al -10.425 -4.833 0.686
Al 1.251 -2.127 4.025
Al -1.533 -2.123 8.870
Y -15.648 2.009 5.925
Al -1.604 0.320 10.090
Al -13.065 -2.224 4.660
Al -15.559 -1.029 6.066
Al -7.442 -3.308 4.297
Al -4.470 1.327 10.518
Al -6.580 -6.676 -1.483
Al -1.922 -2.068 -0.495
Al -13.474 -2.361 7.474
Al -8.681 2.482 8.436
Al -5.966 -6.326 1.163
Al -11.006 -1.600 6.307
Al -5.313 3.251 6.232
Al -18.212 0.026 5.674
Y -11.262 -0.093 3.451
Al -10.896 0.473 13.058
Al -4.192 -2.956 8.286
Y -13.106 1.543 10.827
Al 2.951 0.904 8.974
Al -5.989 -4.385 6.314
Al -4.612 -3.163 4.296
Al -5.986 -0.965 9.778
Al -12.971 2.248 7.871
Al -14.574 0.110 8.319
Ta -9.205 5.165 8.648
Al -1.196 0.458 7.276
Al 0.889 -0.875 8.684
Al -6.046 5.244 14.180
Al -10.477 1.053 6.464
Al -5.881 1.291 8.047
Al -2.910 -1.810 6.164
Ta -10.993 -1.226 10.908
Ta -7.834 -4.744 -0.072
Al -3.774 -2.376 1.692
Al -8.789 -3.194 6.703
Al -10.795 3.115 12.465
Al -9.774 6.737 14.932
Ta -12.301 2.702 5.251
Al -13.946 4.400 9.522
Al -1.552 -4.356 0.949
Al -12.961 -1.299 12.755
Al 1.146 -4.383 5.756
Al -0.893 2.746 11.143
Al -11.923 -2.988 2.126
Ta -3.677 -0.678 3.842
Al -8.545 3.871 10.917
Y -2.860 2.833 8.325
Al -9.117 -3.142 10.587
Al -1.657 -6.612 2.680
Al -15.694 -2.428 3.594
Al -13.136 0.219 5.880
Al -7.656 1.386 5.974
Al 0.976 0.237 2.684
Al -11.087 -2.857 8.706
Al -11.749 6.070 8.642
Al -8.684 -0.938 4.972
Al -3.496 -5.580 4.908
Y -8.720 -0.559 8.353
Al -10.758 3.825 7.032
Al -7.905 4.228 6.474
Al 2.662 -2.091 6.496
Al -8.212 0.947 3.052
Al -1.089 -0.241 4.638
Al -13.580 -1.662 10.112
Al -3.912 -5.729 7.718
Al -8.459 -5.131 2.569
Al -10.200 -3.230 4.232
Al -0.096 -2.013 6.431
Al -6.239 -3.552 1.743
Al -3.663 -0.303 8.443
Al -6.125 -5.774 3.833
Al -3.875 -5.018 2.285
Al -3.068 -6.648 0.209
Al -6.267 -1.181 3.098
Y -8.873 -1.948 1.728
Al -8.402 -0.722 11.652
Al -11.174 3.677 9.842
Al -5.553 1.239 4.163
Y -5.950 -1.344 6.397
Al -1.699 -4.151 6.879
Y -10.324 6.243 11.766
Y -4.487 -4.050 -0.746
Al -0.724 -6.303 5.228
Al -13.555 4.635 6.662
Y -5.938 4.141 9.292
Ta 0.407 1.809 8.969
Al -11.760 -0.094 8.586
Y -1.564 -3.446 3.923
Al -6.211 3.228 12.181
Y 1.526 0.731 5.851
Al -7.228 1.405 10.453
Al -3.583 0.954 6.044
Al -7.013 -3.289 8.776
Al -8.704 4.423 13.587
Al -2.752 1.730 3.437
Al -4.440 0.387 1.584
Al -3.485 3.722 11.385
Ta 0.000 0.000 0.000
Ta -7.132 3.418 4.023
Al -10.058 1.260 10.454
```



# 12
Density functional theory data (GGA-PBEsol) for MgSiIr2 after structural relaxation.

- space group = No. 35
- formation energy from raw total energies (eV per atom) = 0.0797
- total magnetization (μB/atom) = 0.000
- volume (Å³/cell) = 59.3

Geometry as extended XYZ:
```
4
Lattice="-2.202 0.737 1.525 -0.252 -2.193 -1.687 2.689 -5.241 6.413" Properties=species:S:1:pos:R:3 pbc="T T T"
Ir 0.049 -0.095 0.116
Mg 1.347 -2.625 3.212
Ir 0.783 -4.646 4.713
Si -0.599 -1.952 1.417
```